1.
Here is a geometry-optimized V2Co4Ni3 structure from the Alexandria database. Energies are from PBE.

Lattice parameters (Å, degrees): 5.571 5.571 5.676 106.88 106.88 36.78
Positions (direct):
V1 0.222 0.222 0.308
V2 0.778 0.778 0.692
Co1 0.115 0.115 0.658
Co2 0.334 0.334 0.994
Co3 0.666 0.666 0.006
Co4 0.885 0.885 0.342
Ni1 0.000 0.000 0.000
Ni2 0.445 0.445 0.667
Ni3 0.555 0.555 0.333

Output
The value obtained for the magnetic moment is 2.11 Bohr magnetons per cell. As for the relative energy among the computed polymorphs: 0.043 eV/atom. As for the formation energy: -71 meV/atom.



2.
Here is a geometry-optimized Ba3SBr3 structure from the Alexandria database. Energies are from PBE.

Lattice parameters (Å, degrees): 9.355 9.355 9.355 123.25 118.98 88.12
Positions (direct):
Ba1 0.253 0.003 0.250
Ba2 0.273 0.000 0.773
Ba3 0.273 0.500 0.273
Ba4 0.727 0.000 0.227
Ba5 0.727 0.500 0.727
Ba6 0.747 0.997 0.750
S1 0.480 0.230 0.250
S2 0.520 0.770 0.750
Br1 0.000 0.256 0.256
Br2 0.000 0.744 0.744
Br3 0.003 0.753 0.250
Br4 0.500 0.256 0.756
Br5 0.500 0.744 0.244
Br6 0.997 0.247 0.750

Output
The value obtained for the magnetic moment is 0.00 Bohr magnetons per cell. For the raw formation energy, the calculation gives -1.932 eV per atom.



3.
Here is a geometry-optimized Pm3Hg structure from the Alexandria database. Energies are from PBE.

Lattice parameters (Å, degrees): 5.529 5.529 5.529 60.00 60.00 60.00
Positions (direct):
Pm1 0.000 0.000 0.000
Pm2 0.250 0.250 0.250
Pm3 0.750 0.750 0.750
Hg1 0.500 0.500 0.500

Output
The value obtained for the magnetic moment is 0.00 Bohr magnetons per cell. As for the relative energy among the computed polymorphs: 0.161 eV/atom. As for the formation energy: -59 meV/atom.



4.
Here is a geometry-optimized RbPdPtO4 structure from the Alexandria database. Energies are from PBE.

Lattice parameters (Å, degrees): 6.890 6.890 6.890 124.54 124.23 82.56
Positions (direct):
Rb1 0.390 0.140 0.250
Rb2 0.610 0.860 0.750
Pd1 0.000 0.000 0.500
Pd2 0.000 0.500 0.000
Pt1 0.000 0.500 0.500
Pt2 0.500 0.500 0.000
O1 0.149 0.698 0.451
O2 0.235 0.289 0.554
O3 0.235 0.681 0.946
O4 0.253 0.302 0.951
O5 0.747 0.698 0.049
O6 0.765 0.319 0.054
O7 0.765 0.711 0.446
O8 0.851 0.302 0.549

Output
The value obtained for the magnetic moment is 1.93 Bohr magnetons per cell. For the raw formation energy, the calculation gives -0.620 eV per atom.



Question: What is the formula in the fourth record?
Answer: RbPdPtO4